P.
Density functional theory data (GGA-PBEsol) for crystalline Al6Ag at its relaxed geometry.

```
7
Lattice="-0.472 3.744 1.472 -0.134 -3.616 3.314 6.368 0.854 0.025" Properties=species:S:1:pos:R:3 pbc="T T T"
Al 1.526 -1.255 3.500
Al 0.521 1.236 2.503
Ag 0.000 0.000 0.000
Al 3.156 1.120 3.625
Al 4.235 2.238 1.312
Al 5.240 -0.254 2.309
Al 2.605 -0.138 1.187
```

## Properties
M_tot = 0.00 μB/cell
SG = P-1 (2)
Fermi-level density of states = 2.8 states/eV/cell
volume = 16.31 Å³/atom


Q.
Density functional theory data (GGA-PBEsol) for crystalline Al6Ag at its relaxed geometry.

```
7
Lattice="-2.096 -1.959 0.209 2.083 -2.477 -2.331 4.403 -1.629 9.077" Properties=species:S:1:pos:R:3 pbc="T T T"
Ag 0.000 0.000 0.000
Al 1.262 -1.104 2.301
Al 1.873 -3.862 2.365
Al 3.766 -3.295 6.866
Al 3.128 -4.961 4.654
Al 2.517 -2.203 4.590
Al 0.624 -2.770 0.089
```

## Properties
M_tot = 0.00 μB/cell
SG = Immm (71)
Fermi-level density of states = 3.0 states/eV/cell
volume = 16.26 Å³/atom


Short version: P is the least stable of them.


P.
Density functional theory data (GGA-PBEsol) for crystalline Al5Ag at its relaxed geometry.

```
6
Lattice="2.828 0.000 0.000 0.000 4.786 0.000 -1.414 0.000 7.284" Properties=species:S:1:pos:R:3 pbc="T T T"
Al 1.414 2.393 4.049
Al 1.414 0.000 2.419
Ag 1.414 0.000 7.258
Al 0.000 2.393 6.495
Al 0.000 0.000 4.844
Al 0.000 2.393 1.641
```

## Properties
M_tot = 0.00 μB/cell
SG = Amm2 (38)
Fermi-level density of states = 2.4 states/eV/cell
volume = 16.43 Å³/atom


Q.
Density functional theory data (GGA-PBEsol) for crystalline Al5Ag at its relaxed geometry.

```
6
Lattice="2.847 0.000 0.000 0.000 4.932 0.004 -1.423 -2.431 6.941" Properties=species:S:1:pos:R:3 pbc="T T T"
Al 1.423 2.466 0.002
Al 0.000 -1.617 4.635
Al 1.423 0.831 4.600
Ag 0.000 0.000 0.000
Al 1.423 4.118 2.310
Al 0.000 1.670 2.346
```

## Properties
M_tot = 0.00 μB/cell
SG = C2/m (12)
Fermi-level density of states = 2.3 states/eV/cell
volume = 16.25 Å³/atom


Short version: P is the least stable of them.


P.
Density functional theory data (GGA-PBEsol) for crystalline Al5Ag at its relaxed geometry.

```
6
Lattice="2.839 0.000 0.000 0.000 4.940 -0.019 0.000 -0.087 6.950" Properties=species:S:1:pos:R:3 pbc="T T T"
Ag 0.000 0.000 0.000
Al 1.420 0.790 2.316
Al 0.000 3.252 2.320
Al 1.420 2.470 -0.010
Al 0.000 1.601 4.611
Al 1.420 4.063 4.615
```

## Properties
M_tot = 0.00 μB/cell
SG = P2/m (10)
Fermi-level density of states = 2.1 states/eV/cell
volume = 16.25 Å³/atom


Q.
Density functional theory data (GGA-PBEsol) for crystalline Al5Ag at its relaxed geometry.

```
6
Lattice="2.866 0.000 0.000 -1.433 2.482 0.000 0.000 0.000 13.668" Properties=species:S:1:pos:R:3 pbc="T T T"
Al 1.433 0.827 4.528
Ag 0.000 0.000 0.000
Al 0.000 1.655 9.139
Al 0.000 1.655 2.242
Al 0.000 0.000 6.834
Al 1.433 0.827 11.425
```

## Properties
M_tot = 0.00 μB/cell
SG = P-3m1 (164)
Fermi-level density of states = 2.5 states/eV/cell
volume = 16.20 Å³/atom


Short version: P is the least stable of them.